Entry 1:
BC after structural relaxation, computed with PBE.

## Properties
The density of states at the Fermi level is 0.138 states/eV/atom. The electronic total energy comes out at -0.5598 Ry/atom. The volume is 6.86 A^3/atom.

abc: 7.2434 7.2030 7.2030
angles: 158.69 142.84 43.20
With the nearest neighbours (Å) after each atom.
Fractional coordinates of all 12 atoms:
1 B 0.1396 0.7811 0.3584  2 C 1.57-1.69
2 B 0.5690 0.2850 0.2839  3 C 1.59-1.61
3 B 0.1528 0.1534 0.9994  3 C 1.55-1.56
4 B 0.6270 0.6191 0.0079  4 C 1.61-1.68
5 B 0.9786 0.9757 0.0029  3 C 1.57-1.61
6 B 0.0104 0.3481 0.6623  1 C 1.55
7 C 0.6141 0.9556 0.6584  3 C 1.54-1.60, 1 B 1.61
8 C 0.5028 0.1675 0.3353  4 B 1.56-1.68
9 C 0.9958 0.6644 0.3314  4 B 1.55-1.61
10 C 0.4993 0.4955 0.0038  3 C 1.56-1.60, 1 B 1.66
11 C 0.5194 0.8414 0.6780  1 C 1.54, 3 B 1.61-1.69
12 C 0.1414 0.4632 0.6782  3 B 1.55-1.57, 1 C 1.56



Entry 2:
BC after structural relaxation, computed with PBE.

## Properties
The density of states at the Fermi level is 0.197 states/eV/atom. The electronic total energy comes out at -0.5574 Ry/atom. The volume is 6.72 A^3/atom.

abc: 6.8887 6.8203 6.8203
angles: 159.20 143.74 42.11
With the nearest neighbours (Å) after each atom.
Fractional coordinates of all 10 atoms:
1 C 0.1216 0.8923 0.2293  1 C 1.56, 3 B 1.59-1.62
2 C 0.5880 0.3080 0.2800  2 C 1.51, 1 B 1.58
3 C 0.7872 0.8036 0.9835  3 C 1.51-1.56, 1 B 1.66
4 C 0.5657 0.5957 0.9700  2 C 1.49, 1 B 1.55
5 C 0.3755 0.1031 0.2725  2 C 1.49, 2 B 1.63-1.64
6 B 0.0464 0.0013 0.0451  2 C 1.59-1.64
7 B 0.7610 0.5149 0.2462  1 C 1.55
8 B 0.3511 0.3787 0.9724  3 C 1.58-1.62
9 B 0.9142 0.6982 0.2160  2 C 1.66-1.69, 2 B 1.84
10 B 0.2394 0.2043 0.0351  2 C 1.63-1.70



Entry 3:
BC after structural relaxation, computed with PBE.

## Properties
The density of states at the Fermi level is 0.149 states/eV/atom. The electronic total energy comes out at -0.5530 Ry/atom. The volume is 6.69 A^3/atom.

abc: 6.5711 6.5711 3.5440
angles: 91.21 91.21 148.25
With the nearest neighbours (Å) after each atom.
Fractional coordinates of all 12 atoms:
1 C 0.0030 0.0105 0.9918  3 C 1.50-1.55, 1 B 1.61
2 C 0.6753 0.8247 0.7500  2 C 1.51, 2 B 1.65
3 C 0.1764 0.3236 0.2500  2 C 1.50, 2 B 1.64
4 C 0.3162 0.1838 0.7500  2 C 1.55, 2 B 1.65
5 C 0.5015 0.9985 0.2500  4 B 1.65-1.68
6 C 0.4895 0.4970 0.5082  3 C 1.50-1.55, 1 B 1.61
7 B 0.8397 0.1452 0.4895  3 C 1.64-1.68, 1 B 1.79
8 B 0.8157 0.6843 0.2500  2 C 1.61
9 B 0.6216 0.2902 0.9853  2 C 1.65, 1 B 1.73
10 B 0.3548 0.6603 0.0105  3 C 1.64-1.68, 1 B 1.79
11 B 0.2098 0.8784 0.5147  2 C 1.65, 1 B 1.73
12 B 0.9964 0.5036 0.7500  4 B 1.73-1.79



Entry 4:
B7C5 after structural relaxation, computed with PBE.

## Properties
The density of states at the Fermi level is 0.180 states/eV/atom. The electronic total energy comes out at -0.5318 Ry/atom. The volume is 6.89 A^3/atom.

abc: 4.6692 4.6692 7.8166
angles: 113.91 113.91 32.34
With the nearest neighbours (Å) after each atom.
Fractional coordinates of all 12 atoms:
1 C 0.9729 0.9729 0.4915  3 B 1.53-1.62, 1 C 1.56
2 C 0.1716 0.1716 0.1983  1 C 1.50, 3 B 1.60-1.65
3 C 0.0311 0.0311 0.0056  1 C 1.50, 3 B 1.60-1.63
4 C 0.8257 0.8257 0.5478  3 C 1.56-1.57, 1 B 1.70
5 C 0.3254 0.3254 0.6600  2 C 1.57, 2 B 1.63
6 B 0.1492 0.1492 0.6743  2 C 1.62-1.63, 2 B 1.82
7 B 0.6717 0.6717 0.8457  3 B 1.66-1.82
8 B 0.3434 0.3434 0.1814  1 C 1.60
9 B 0.8569 0.8569 0.0248  1 C 1.63, 3 B 1.66-1.82
10 B 0.4684 0.4684 0.8758  3 C 1.60-1.63
11 B 0.5144 0.5144 0.4174  2 C 1.53
12 B 0.6693 0.6693 0.3273  3 C 1.65-1.70, 1 B 1.80



Entry 5:
BC after structural relaxation, computed with PBE.

## Properties
The density of states at the Fermi level is 0.251 states/eV/atom. The electronic total energy comes out at -0.5508 Ry/atom. The volume is 6.73 A^3/atom.

abc: 2.4634 4.1072 7.9831
angles: 90.00 90.00 90.00
With the nearest neighbours (Å) after each atom.
Fractional coordinates of all 12 atoms:
1 B 0.5000 0.5308 0.1789  1 C 1.62, 3 B 1.74-1.78
2 B 0.0000 0.2192 0.1789  1 C 1.62, 3 B 1.74-1.78
3 B 0.5000 0.7181 0.9829  1 C 1.64, 3 B 1.74-1.78
4 B 0.5000 0.5398 0.5054  2 C 1.64-1.65, 2 B 1.83
5 B 0.0000 0.2102 0.5054  2 C 1.64-1.65, 2 B 1.83
6 B 0.0000 0.0319 0.9829  1 C 1.64, 3 B 1.74-1.78
7 C 0.5000 0.7725 0.3388  2 C 1.49, 2 B 1.62-1.64
8 C 0.0000 0.2695 0.8185  3 C 1.51-1.64, 1 B 1.64
9 C 0.0000 0.9813 0.6755  3 C 1.51-1.64, 1 B 1.65
10 C 0.5000 0.7687 0.6755  3 C 1.51-1.64, 1 B 1.65
11 C 0.0000 0.9775 0.3388  2 C 1.49, 2 B 1.62-1.64
12 C 0.5000 0.4805 0.8185  3 C 1.51-1.64, 1 B 1.64



Entry 6:
B7C5 after structural relaxation, computed with PBE.

## Properties
The density of states at the Fermi level is 0.208 states/eV/atom. The electronic total energy comes out at -0.5364 Ry/atom. The volume is 6.91 A^3/atom.

abc: 6.9504 6.9504 4.7177
angles: 103.07 103.07 21.96
With the nearest neighbours (Å) after each atom.
Fractional coordinates of all 12 atoms:
1 B 0.3229 0.3229 0.1544  2 C 1.59-1.63
2 B 0.5678 0.5678 0.6541  1 C 1.53
3 B 0.3349 0.3349 0.6868  4 C 1.61-1.67
4 B 0.6905 0.6905 0.2849  3 C 1.56-1.60
5 B 0.0244 0.0244 0.9569  3 C 1.60-1.70
6 B 0.9820 0.9820 0.5349  1 C 1.69, 3 B 1.77-1.82
7 B 0.9159 0.9159 0.1531  1 C 1.80, 4 B 1.82-1.92
8 C 0.2501 0.2501 0.3729  4 B 1.56-1.66
9 C 0.6794 0.6794 0.8107  1 B 1.53, 2 C 1.54
10 C 0.2382 0.2382 0.8491  2 C 1.54, 2 B 1.63-1.67
11 C 0.9030 0.9030 0.7645  5 B 1.61-1.80
12 C 0.5909 0.5909 0.0278  4 B 1.60-1.72, 1 C 1.75



Entry 7:
B7C5 after structural relaxation, computed with PBE.

## Properties
The density of states at the Fermi level is 0.166 states/eV/atom. The electronic total energy comes out at -0.5329 Ry/atom. The volume is 6.92 A^3/atom.

abc: 2.5901 2.5901 14.2855
angles: 90.00 90.00 120.00
With the nearest neighbours (Å) after each atom.
Fractional coordinates of all 12 atoms:
1 C 0.0000 0.0000 0.4713  1 C 1.41
2 C 0.0000 0.0000 0.0203  3 C 1.56, 1 B 1.60
3 C 0.0000 0.0000 0.3725  1 C 1.41
4 C 0.3333 0.6667 0.0523  3 C 1.56, 1 B 1.68
5 C 0.6667 0.3333 0.2123  4 B 1.58-1.61
6 B 0.0000 0.0000 0.9081  1 C 1.60
7 B 0.6667 0.3333 0.7187  4 B 1.68-1.86
8 B 0.3333 0.6667 0.5230  3 C 1.67, 1 B 1.70
9 B 0.6667 0.3333 0.8364  4 B 1.68-1.81
10 B 0.3333 0.6667 0.6418  4 B 1.70-1.86
11 B 0.3333 0.6667 0.1700  4 C 1.61-1.68
12 B 0.6667 0.3333 0.3231  4 C 1.58-1.65



Entry 8:
BC after structural relaxation, computed with PBE.

## Properties
The density of states at the Fermi level is 0.260 states/eV/atom. The electronic total energy comes out at -0.5537 Ry/atom. The volume is 6.70 A^3/atom.

abc: 2.5625 2.5625 14.1300
angles: 90.00 90.00 120.00
With the nearest neighbours (Å) after each atom.
Fractional coordinates of all 12 atoms:
1 B 0.0000 0.0000 0.8975  1 C 1.58
2 B 0.0000 0.0000 0.4835  4 B 1.69-1.84
3 B 0.0000 0.0000 0.3638  3 C 1.66, 1 B 1.69
4 B 0.3333 0.6667 0.5614  1 C 1.58
5 B 0.3333 0.6667 0.1596  4 C 1.60-1.65
6 B 0.6667 0.3333 0.8227  1 C 1.58
7 C 0.6667 0.3333 0.3106  1 C 1.40
8 C 0.6667 0.3333 0.7107  3 C 1.57, 1 B 1.58
9 C 0.3333 0.6667 0.0462  3 C 1.57, 1 B 1.60
10 C 0.0000 0.0000 0.0091  3 C 1.57, 1 B 1.58
11 C 0.6667 0.3333 0.2117  1 C 1.40
12 C 0.3333 0.6667 0.6732  3 C 1.57, 1 B 1.58



Taking the records one at a time from the top gives energy relative to the elements values of 335 366 427 503 457 441 488 418 meV per atom.